VASP calculation (PBE) on a relaxed structure of MgZrSb2Te.

abc: 5.2205 5.2205 5.4500
angles: 90.00 90.00 90.00
Positions (direct):
Mg 0.0000 0.0000 0.0000
Zr 0.5000 0.5000 0.5000
Sb 0.0000 0.5000 0.0000
Sb 0.5000 0.0000 0.0000
Te 0.0000 0.0000 0.5000

Calculated values
- Total magnetic moment: 1.076 Bohr magnetons per cell
- Calculated total energy: -18.58 eV per cell
- SG: No. 123